This record from Alexandria describes an optimized crystal structure of ScIr2SeI. The functional is PBE-GGA.

```
5
Lattice="4.8301 0.0000 0.0000 0.0000 4.8301 0.0000 0.0000 0.0000 5.3893" Properties=species:S:1:pos:R:3 pbc="T T T"
Sc 0.0000 0.0000 0.0000
Ir 0.0000 2.4151 0.0000
Ir 2.4151 0.0000 0.0000
Se 2.4151 2.4151 2.6947
I 0.0000 0.0000 2.6947
```

Calculated values
The value obtained for the uncorrected formation energy is 1.30 eV per atom. The total energy comes out at -4.52 eV/atom. The density comes out at 8.390 g/cm³.